# PBE La2Tb3Pr7, optimized geometry
data_La2Tb3Pr7
_chemical_formula_sum 'La2 Tb3 Pr7'
_cell_length_a 3.6891
_cell_length_b 5.9368
_cell_length_c 19.7865
_cell_angle_alpha 98.63
_cell_angle_beta 90.00
_cell_angle_gamma 90.00
_space_group_name_H-M_alt 'P 1'
_space_group_IT_number 1
_space_group_name_Hall 'P 1'
loop_
_atom_site_label
_atom_site_type_symbol
_atom_site_fract_x
_atom_site_fract_y
_atom_site_fract_z
_atom_site_occupancy
Pr1 Pr 0.0000 0.7684 0.5369 1
Pr2 Pr 0.0000 0.5902 0.1805 1
Pr3 Pr 0.5000 0.0718 0.1436 1
Pr4 Pr 0.0000 0.0000 0.0000 1
Pr5 Pr 0.0000 0.2316 0.4631 1
Pr6 Pr 0.5000 0.9282 0.8564 1
Pr7 Pr 0.0000 0.4098 0.8195 1
La1 La 0.0000 0.8510 0.7020 1
La2 La 0.0000 0.1490 0.2980 1
Tb1 Tb 0.5000 0.3143 0.6286 1
Tb2 Tb 0.5000 0.5000 0.0000 1
Tb3 Tb 0.5000 0.6857 0.3714 1
# E above lowest polymorph   4.8 kJ/mol of atoms
# Energy   -4.65 eV/atom
# D(E_F)   20.7 states/eV/cell
# Total magnetization   0.00 μB per atom
# Energy of formation from the pure elements   0.11 eV/atom

=====

# PBE Ti2Nb2Os, optimized geometry
data_Ti2Nb2Os
_chemical_formula_sum 'Ti4 Nb4 Os2'
_cell_length_a 5.1216
_cell_length_b 5.1216
_cell_length_c 7.8582
_cell_angle_alpha 99.59
_cell_angle_beta 99.59
_cell_angle_gamma 113.72
_space_group_name_H-M_alt 'P 1'
_space_group_IT_number 1
_space_group_name_Hall 'P 1'
loop_
_atom_site_label
_atom_site_type_symbol
_atom_site_fract_x
_atom_site_fract_y
_atom_site_fract_z
_atom_site_occupancy
Nb1 Nb 0.2003 0.2003 0.8753 1
Nb2 Nb 0.7640 0.7640 0.4774 1
Nb3 Nb 0.2360 0.2360 0.5226 1
Nb4 Nb 0.7997 0.7997 0.1247 1
Os1 Os 0.2472 0.7528 0.0000 1
Os2 Os 0.7528 0.2472 0.0000 1
Ti1 Ti 0.4444 0.7976 0.7178 1
Ti2 Ti 0.2024 0.5556 0.2822 1
Ti3 Ti 0.5556 0.2024 0.2822 1
Ti4 Ti 0.7976 0.4444 0.7178 1
# Energy   -9.38 eV/atom
# D(E_F)   11.0 states/eV/cell
# Total magnetization   0.00 μB per atom
# Energy of formation from the pure elements   0.06 eV/atom

=====

# PBE HoTmBr6, optimized geometry
data_HoTmBr6
_chemical_formula_sum 'Ho1 Tm1 Br6'
_cell_length_a 7.0204
_cell_length_b 7.0208
_cell_length_c 7.5271
_cell_angle_alpha 62.20
_cell_angle_beta 62.20
_cell_angle_gamma 60.00
_space_group_name_H-M_alt 'P 1'
_space_group_IT_number 1
_space_group_name_Hall 'P 1'
loop_
_atom_site_label
_atom_site_type_symbol
_atom_site_fract_x
_atom_site_fract_y
_atom_site_fract_z
_atom_site_occupancy
Br1 Br 0.5943 0.2516 0.2511 1
Br2 Br 0.0971 0.4056 0.7490 1
Br3 Br 0.2517 0.9030 0.2510 1
Br4 Br 0.9029 0.5944 0.2510 1
Br5 Br 0.4057 0.7484 0.7489 1
Br6 Br 0.7483 0.0970 0.7490 1
Ho1 Ho 0.0000 0.0000 0.0000 1
Tm1 Tm 0.5000 0.5000 0.5000 1
# E_form (uncorrected)   -175 kJ/mol of atoms
# Energy   -4.19 eV/atom
# D(E_F)   0.0 states/eV/cell
# Total magnetization   0.00 μB per atom

=====

# PBE Sr3Pd3Au2, optimized geometry
data_Sr3Pd3Au2
_chemical_formula_sum 'Sr6 Pd6 Au4'
_cell_length_a 4.6158
_cell_length_b 6.0885
_cell_length_c 15.5549
_cell_angle_alpha 90.00
_cell_angle_beta 90.00
_cell_angle_gamma 112.28
_space_group_name_H-M_alt 'P 1'
_space_group_IT_number 1
_space_group_name_Hall 'P 1'
loop_
_atom_site_label
_atom_site_type_symbol
_atom_site_fract_x
_atom_site_fract_y
_atom_site_fract_z
_atom_site_occupancy
Pd1 Pd 0.6042 0.2083 0.0428 1
Pd2 Pd 0.3958 0.7917 0.9572 1
Pd3 Pd 0.6568 0.3136 0.7500 1
Pd4 Pd 0.6042 0.2083 0.4572 1
Pd5 Pd 0.3958 0.7917 0.5428 1
Pd6 Pd 0.3432 0.6864 0.2500 1
Sr1 Sr 0.9021 0.8041 0.4003 1
Sr2 Sr 0.9021 0.8041 0.0997 1
Sr3 Sr 0.6251 0.2503 0.2500 1
Sr4 Sr 0.0979 0.1959 0.5997 1
Sr5 Sr 0.3749 0.7497 0.7500 1
Sr6 Sr 0.0979 0.1959 0.9003 1
Au1 Au 0.8003 0.6006 0.8945 1
Au2 Au 0.1997 0.3994 0.1055 1
Au3 Au 0.8003 0.6006 0.6055 1
Au4 Au 0.1997 0.3994 0.3945 1
# Energy   -4.02 eV/atom
# D(E_F)   6.5 states/eV/cell
# Total magnetization   0.00 μB per atom
# Energy of formation from the pure elements   -0.62 eV/atom

=====

# PBE PuSc4Ga5, optimized geometry
data_PuSc4Ga5
_chemical_formula_sum 'Pu1 Sc4 Ga5'
_cell_length_a 3.1517
_cell_length_b 3.1517
_cell_length_c 19.5841
_cell_angle_alpha 90.00
_cell_angle_beta 90.00
_cell_angle_gamma 90.00
_space_group_name_H-M_alt 'P 1'
_space_group_IT_number 1
_space_group_name_Hall 'P 1'
loop_
_atom_site_label
_atom_site_type_symbol
_atom_site_fract_x
_atom_site_fract_y
_atom_site_fract_z
_atom_site_occupancy
Ga1 Ga 0.5000 0.5000 0.6940 1
Ga2 Ga 0.5000 0.5000 0.1106 1
Ga3 Ga 0.5000 0.5000 0.5000 1
Ga4 Ga 0.5000 0.5000 0.3060 1
Ga5 Ga 0.5000 0.5000 0.8894 1
Sc1 Sc 0.0000 0.0000 0.5967 1
Sc2 Sc 0.0000 0.0000 0.4033 1
Sc3 Sc 0.0000 0.0000 0.7905 1
Sc4 Sc 0.0000 0.0000 0.2095 1
Pu1 Pu 0.0000 0.0000 0.0000 1
# Energy   -6.00 eV/atom
# D(E_F)   11.2 states/eV/cell
# Total magnetization   0.49 μB per atom
# Energy of formation from the pure elements   -0.53 eV/atom

=====

# PBE InSb2PtPb, optimized geometry
data_InSb2PtPb
_chemical_formula_sum 'In1 Sb2 Pt1 Pb1'
_cell_length_a 5.8427
_cell_length_b 5.0990
_cell_length_c 5.8427
_cell_angle_alpha 90.00
_cell_angle_beta 90.00
_cell_angle_gamma 90.00
_space_group_name_H-M_alt 'P 1'
_space_group_IT_number 1
_space_group_name_Hall 'P 1'
loop_
_atom_site_label
_atom_site_type_symbol
_atom_site_fract_x
_atom_site_fract_y
_atom_site_fract_z
_atom_site_occupancy
Sb1 Sb 0.0000 0.0000 0.5000 1
Sb2 Sb 0.5000 0.0000 0.0000 1
Pt1 Pt 0.0000 0.5000 0.0000 1
In1 In 0.5000 0.5000 0.5000 1
Pb1 Pb 0.0000 0.0000 0.0000 1
# E_form (uncorrected)   77 kJ/mol of atoms
# Energy   -3.35 eV/atom
# D(E_F)   4.9 states/eV/cell
# Total magnetization   0.00 μB per atom

=====

# PBE YPuSiPt, optimized geometry
data_YPuSiPt
_chemical_formula_sum 'Y1 Pu1 Si1 Pt1'
_cell_length_a 4.9886
_cell_length_b 4.9886
_cell_length_c 4.9886
_cell_angle_alpha 60.00
_cell_angle_beta 60.00
_cell_angle_gamma 60.00
_space_group_name_H-M_alt 'P 1'
_space_group_IT_number 1
_space_group_name_Hall 'P 1'
loop_
_atom_site_label
_atom_site_type_symbol
_atom_site_fract_x
_atom_site_fract_y
_atom_site_fract_z
_atom_site_occupancy
Pu1 Pu 0.5000 0.5000 0.5000 1
Si1 Si 0.7500 0.7500 0.7500 1
Pt1 Pt 0.2500 0.2500 0.2500 1
Y1 Y 0.0000 0.0000 0.0000 1
# E_form (uncorrected)   -60 kJ/mol of atoms
# Energy   -8.69 eV/atom
# D(E_F)   10.1 states/eV/cell
# Total magnetization   1.30 μB per atom

=====

# PBE CaRh2I, optimized geometry
data_CaRh2I
_chemical_formula_sum 'Ca2 Rh4 I2'
_cell_length_a 4.8549
_cell_length_b 4.8549
_cell_length_c 9.3086
_cell_angle_alpha 74.88
_cell_angle_beta 74.88
_cell_angle_gamma 90.00
_space_group_name_H-M_alt 'P 1'
_space_group_IT_number 1
_space_group_name_Hall 'P 1'
loop_
_atom_site_label
_atom_site_type_symbol
_atom_site_fract_x
_atom_site_fract_y
_atom_site_fract_z
_atom_site_occupancy
Ca1 Ca 0.5000 0.5000 0.0000 1
Ca2 Ca 0.2500 0.7500 0.5000 1
Rh1 Rh 0.9853 0.6250 0.2500 1
Rh2 Rh 0.7647 0.1250 0.2500 1
Rh3 Rh 0.8750 0.0147 0.7500 1
Rh4 Rh 0.3750 0.2353 0.7500 1
I1 I 0.7500 0.2500 0.5000 1
I2 I 0.0000 0.0000 0.0000 1
# E_form (uncorrected)   7 kJ/mol of atoms
# E above lowest polymorph   0.0 kJ/mol of atoms
# Energy   -4.49 eV/atom
# D(E_F)   10.4 states/eV/cell
# Total magnetization   0.00 μB per atom

=====

# PBE Tl2CuP2, optimized geometry
data_Tl2CuP2
_chemical_formula_sum 'Tl4 Cu2 P4'
_cell_length_a 6.1559
_cell_length_b 6.1559
_cell_length_c 5.7264
_cell_angle_alpha 90.00
_cell_angle_beta 90.00
_cell_angle_gamma 90.00
_space_group_name_H-M_alt 'P 1'
_space_group_IT_number 1
_space_group_name_Hall 'P 1'
loop_
_atom_site_label
_atom_site_type_symbol
_atom_site_fract_x
_atom_site_fract_y
_atom_site_fract_z
_atom_site_occupancy
Tl1 Tl 0.3085 0.1915 0.5000 1
Tl2 Tl 0.8085 0.3085 0.5000 1
Tl3 Tl 0.6915 0.8085 0.5000 1
Tl4 Tl 0.1915 0.6915 0.5000 1
P1 P 0.1247 0.3753 0.0000 1
P2 P 0.3753 0.8753 0.0000 1
P3 P 0.8753 0.6247 0.0000 1
P4 P 0.6247 0.1247 0.0000 1
Cu1 Cu 0.5000 0.5000 0.0000 1
Cu2 Cu 0.0000 0.0000 0.0000 1
# Energy   -3.81 eV/atom
# D(E_F)   4.2 states/eV/cell
# Total magnetization   0.00 μB per atom
# Energy of formation from the pure elements   0.12 eV/atom

=====

# PBE V2SbH2, optimized geometry
data_V2SbH2
_chemical_formula_sum 'V2 Sb1 H2'
_cell_length_a 3.2034
_cell_length_b 3.2034
_cell_length_c 5.6555
_cell_angle_alpha 73.55
_cell_angle_beta 73.55
_cell_angle_gamma 90.00
_space_group_name_H-M_alt 'P 1'
_space_group_IT_number 1
_space_group_name_Hall 'P 1'
loop_
_atom_site_label
_atom_site_type_symbol
_atom_site_fract_x
_atom_site_fract_y
_atom_site_fract_z
_atom_site_occupancy
H1 H 0.7500 0.2500 0.5000 1
H2 H 0.2500 0.7500 0.5000 1
V1 V 0.6551 0.6551 0.6897 1
V2 V 0.3449 0.3449 0.3103 1
Sb1 Sb 0.0000 0.0000 0.0000 1
# Energy   -5.85 eV/atom
# D(E_F)   3.7 states/eV/cell
# Total magnetization   0.00 μB per atom

=====

# PBE Pm2PuCu12Ni3, optimized geometry
data_Pm2PuCu12Ni3
_chemical_formula_sum 'Pm2 Pu1 Cu12 Ni3'
_cell_length_a 7.8929
_cell_length_b 7.8929
_cell_length_c 7.8929
_cell_angle_alpha 60.33
_cell_angle_beta 60.33
_cell_angle_gamma 60.33
_space_group_name_H-M_alt 'P 1'
_space_group_IT_number 1
_space_group_name_Hall 'P 1'
loop_
_atom_site_label
_atom_site_type_symbol
_atom_site_fract_x
_atom_site_fract_y
_atom_site_fract_z
_atom_site_occupancy
Cu1 Cu 0.6555 0.6555 0.1350 1
Cu2 Cu 0.8269 0.5104 0.8269 1
Cu3 Cu 0.8269 0.8269 0.5104 1
Cu4 Cu 0.3445 0.3445 0.8650 1
Cu5 Cu 0.4896 0.1731 0.1731 1
Cu6 Cu 0.3445 0.8650 0.3445 1
Cu7 Cu 0.6555 0.1350 0.6555 1
Cu8 Cu 0.1731 0.4896 0.1731 1
Cu9 Cu 0.5104 0.8269 0.8269 1
Cu10 Cu 0.1731 0.1731 0.4896 1
Cu11 Cu 0.1350 0.6555 0.6555 1
Cu12 Cu 0.8650 0.3445 0.3445 1
Pm1 Pm 0.4086 0.4086 0.4086 1
Pm2 Pm 0.5914 0.5914 0.5914 1
Ni1 Ni 0.0000 0.5000 0.0000 1
Ni2 Ni 0.5000 0.0000 0.0000 1
Ni3 Ni 0.0000 0.0000 0.5000 1
Pu1 Pu 0.0000 0.0000 0.0000 1
# Energy   -4.57 eV/atom
# D(E_F)   27.0 states/eV/cell
# Total magnetization   0.32 μB per atom
# Energy of formation from the pure elements   0.44 eV/atom

=====

# PBE Pr4PdCl5, optimized geometry
data_Pr4PdCl5
_chemical_formula_sum 'Pr4 Pd1 Cl5'
_cell_length_a 3.9744
_cell_length_b 8.6897
_cell_length_c 9.3412
_cell_angle_alpha 101.23
_cell_angle_beta 102.28
_cell_angle_gamma 90.00
_space_group_name_H-M_alt 'P 1'
_space_group_IT_number 1
_space_group_name_Hall 'P 1'
loop_
_atom_site_label
_atom_site_type_symbol
_atom_site_fract_x
_atom_site_fract_y
_atom_site_fract_z
_atom_site_occupancy
Cl1 Cl 0.8329 0.6898 0.6657 1
Cl2 Cl 0.8355 0.1810 0.6710 1
Cl3 Cl 0.1645 0.8190 0.3290 1
Cl4 Cl 0.5000 0.5000 0.0000 1
Cl5 Cl 0.1671 0.3102 0.3343 1
Pr1 Pr 0.3321 0.9310 0.6641 1
Pr2 Pr 0.0049 0.2330 0.0097 1
Pr3 Pr 0.9951 0.7670 0.9903 1
Pr4 Pr 0.6679 0.0690 0.3359 1
Pd1 Pd 0.5000 0.0000 0.0000 1
# E_form (uncorrected)   -159 kJ/mol of atoms
# Energy   -5.00 eV/atom
# D(E_F)   6.9 states/eV/cell
# Total magnetization   0.02 μB per atom